Compound: NiHW3
Source: the Alexandria database
Functional: PBE
Structure: relaxed

a b c (Å): 3.9589 3.9589 3.9589
angles (deg): 90.00 90.00 90.00
Last column: nearest neighbours and their distance in Å.
Element x y z (fractional)
Ni (0.0000, 0.0000, 0.0000)  12 W 2.80
H (0.5000, 0.5000, 0.5000)  6 W 1.98
W (0.0000, 0.5000, 0.5000)  2 H 1.98
W (0.5000, 0.0000, 0.5000)  2 H 1.98
W (0.5000, 0.5000, 0.0000)  2 H 1.98

Energy above the most stable polymorph in this dataset in meV per atom: 0
Calculated density in g cm⁻³: 16.357
Symmetry: Pm-3m
DFT total energy in eV/atom: -9.392